The following is a DFT calculation (PBE) of a geometry-optimized Ba2ErZnO5 structure.

Structure (CIF):
```
data_Ba2ErZnO5
_space_group_name_H-M_alt 'C m c 21'
_space_group_IT_number 36
_space_group_name_Hall 'C 2c -2'
_cell_length_a 3.5555
_cell_length_b 15.3211
_cell_length_c 11.1043
_cell_angle_alpha 90.00
_cell_angle_beta 90.00
_cell_angle_gamma 90.00
loop_
_atom_site_label
_atom_site_fract_x
_atom_site_fract_y
_atom_site_fract_z
Ba1 0.0000 0.1105 0.0000
Ba2 0.0000 0.1312 0.6378
Er1 0.0000 0.2026 0.3387
Zn1 0.0000 0.4530 0.7660
O1 0.0000 0.0464 0.3449
O2 0.0000 0.2926 0.9685
O3 0.0000 0.3207 0.7083
O4 0.0000 0.3430 0.3218
O5 0.0000 0.4980 0.1063
```

## Properties
- total DFT energy (no corrections) (eV per atom) = -6.202
- raw formation energy (kJ/mol of formula units) = -2059

The following is a DFT calculation (PBE) of a geometry-optimized Ba5Er8Zn4O21 structure.

Structure (CIF):
```
data_Ba5Er8Zn4O21
_space_group_name_H-M_alt 'I 4/m'
_space_group_IT_number 87
_space_group_name_Hall '-I 4'
_cell_length_a 13.8110
_cell_length_b 13.8110
_cell_length_c 5.7208
_cell_angle_alpha 90.00
_cell_angle_beta 90.00
_cell_angle_gamma 90.00
loop_
_atom_site_label
_atom_site_fract_x
_atom_site_fract_y
_atom_site_fract_z
Ba1 0.0000 0.0000 0.0000
Ba2 0.0355 0.3601 0.5000
Er1 0.0887 0.8583 0.5000
Er2 0.1682 0.2476 0.0000
Zn1 0.0406 0.7501 0.0000
O1 0.0000 0.0000 0.5000
O2 0.0388 0.3710 0.0000
O3 0.0483 0.1774 0.2509
O4 0.1488 0.7434 0.2492
```

## Properties
- total DFT energy (no corrections) (eV per atom) = -6.971
- raw formation energy (kJ/mol of formula units) = -10570

The following is a DFT calculation (PBE) of a geometry-optimized BaEr3Os structure.

Structure (CIF):
```
data_BaEr3Os
_space_group_name_H-M_alt 'P m -3 m'
_space_group_IT_number 221
_space_group_name_Hall '-P 4 2 3'
_cell_length_a 5.5071
_cell_length_b 5.5071
_cell_length_c 5.5071
_cell_angle_alpha 90.00
_cell_angle_beta 90.00
_cell_angle_gamma 90.00
loop_
_atom_site_label
_atom_site_fract_x
_atom_site_fract_y
_atom_site_fract_z
Ba1 0.0000 0.0000 0.0000
Er1 0.0000 0.5000 0.5000
Os1 0.5000 0.5000 0.5000
```

## Properties
- total DFT energy (no corrections) (eV per atom) = -5.442
- energy relative to the elements (eV/f.u.) = -0.371